Crystalline BaSrMgGe at its relaxed geometry. Source: the Alexandria database, functional PBE-GGA.

Lattice parameters (Å, degrees): 8.1313 8.1313 8.1313 90.00 90.00 90.00
Space group F-43m (No. 216)
Asymmetric unit:
Ba 0.0000 0.0000 0.0000 (multiplicity 4)
Sr 0.0000 0.0000 0.5000 (multiplicity 4)
Mg 0.2500 0.2500 0.2500 (multiplicity 4)
Ge 0.2500 0.2500 0.7500 (multiplicity 4)

Properties
- Size of the total moment: 0.0 μB/cell
- Energy: -2.729 eV/atom